Entry i
GGA-PBE Cd2AsP, relaxed; volume = 82 Å³ per cell; SG = No. 225
1.0
1.917 -4.444 0.593
0.767 -1.745 4.488
-2.761 -3.638 1.707
Cd P As
2 1 1
Direct
0.750 0.750 0.750
0.250 0.250 0.250
0.000 0.000 0.000
0.500 0.500 0.500

=====

Entry ii
GGA-PBE Cd2AsP, relaxed; volume = 84 Å³ per cell; SG = No. 123
1.0
3.909 0.000 0.000
0.000 3.909 0.000
0.000 0.000 5.474
Cd P As
2 1 1
Direct
0.000 0.000 0.498
0.000 0.000 0.002
0.500 0.500 0.250
0.500 0.500 0.750

=====

It turns out entry ii is the most stable, with the second structure 0.098 eV/atom higher.

=====

Entry i
GGA-PBE Al2BrCl, relaxed; volume = 141 Å³ per cell; SG = No. 8
1.0
8.328 0.060 -0.142
7.614 3.374 -0.142
2.290 0.493 5.057
Al Cl Br
2 1 1
Direct
0.961 0.961 0.953
0.340 0.340 0.355
0.745 0.745 0.629
0.455 0.455 0.563

=====

Entry ii
GGA-PBE Al2BrCl, relaxed; volume = 96 Å³ per cell; SG = No. 216
1.0
-2.671 0.456 4.378
-3.643 -3.446 1.163
0.756 -3.348 3.837
Br Cl Al
1 1 2
Direct
0.500 0.500 0.500
0.750 0.750 0.750
0.250 0.250 0.250
0.000 0.000 0.000

=====

It turns out entry i is the most stable, with the second structure 0.431 eV/atom higher.

=====

Entry i
GGA-PBE TlP2Br, relaxed; volume = 109 Å³ per cell; SG = No. 139
1.0
7.504 0.906 -0.457
4.915 5.742 0.457
-5.992 -3.731 2.742
Br Tl P
1 1 2
Direct
0.250 0.750 0.500
0.750 0.250 0.500
0.000 0.000 0.000
0.500 0.500 0.000

=====

Entry ii
GGA-PBE TlP2Br, relaxed; volume = 85 Å³ per cell; SG = No. 225
1.0
0.000 3.489 3.489
3.489 0.000 3.489
3.489 3.489 0.000
Tl Br P
1 1 2
Direct
0.500 0.500 0.500
0.000 0.000 0.000
0.750 0.750 0.750
0.250 0.250 0.250

=====

It turns out entry i is the most stable, with the second structure 0.242 eV/atom higher.

=====

Entry i
GGA-PBE P2C, relaxed; volume = 35 Å³ per cell; SG = No. 123
1.0
2.705 0.000 0.000
0.000 2.705 0.000
0.000 0.000 4.772
P C
2 1
Direct
0.500 0.500 0.000
0.000 0.000 0.500
0.000 0.000 0.000

=====

Entry ii
GGA-PBE P2C, relaxed; volume = 57 Å³ per cell; SG = No. 2
1.0
-0.057 0.786 -3.452
-2.145 -3.573 1.022
-2.753 2.716 2.450
P C
2 1
Direct
0.591 0.351 0.329
0.409 0.649 0.671
0.500 0.500 0.000

=====

It turns out entry ii is the most stable, with the second structure 0.373 eV/atom higher.

=====

Entry i
GGA-PBE CsBaI2, relaxed; volume = 200 Å³ per cell; SG = No. 160
1.0
4.837 0.000 0.000
2.419 4.189 0.000
2.419 1.396 9.875
Ba I Cs
1 2 1
Direct
0.668 0.668 0.996
0.258 0.258 0.225
0.076 0.076 0.772
0.498 0.498 0.507

=====

Entry ii
GGA-PBE CsBaI2, relaxed; volume = 200 Å³ per cell; SG = No. 166
1.0
4.965 0.000 0.000
2.482 4.300 0.000
2.482 1.433 9.388
Cs I Ba
1 2 1
Direct
0.500 0.500 0.500
0.258 0.258 0.225
0.742 0.742 0.775
0.000 0.000 0.000

=====

It turns out entry ii is the most stable, with the second structure 0.016 eV/atom higher.

=====

Entry i
GGA-PBE Ga3NiPt, relaxed; volume = 89 Å³ per cell; SG = No. 221
1.0
-2.957 3.094 -1.296
-2.634 -3.212 -1.656
-2.077 -0.332 3.946
Ni Pt Ga
1 1 3
Direct
0.000 0.000 0.000
0.500 0.500 0.500
0.000 0.000 0.500
0.500 0.000 0.000
0.000 0.500 0.000

=====

Entry ii
GGA-PBE Ga3NiPt, relaxed; volume = 163 Å³ per cell; SG = No. 11
1.0
4.046 0.001 0.000
-2.022 4.786 0.000
0.000 0.000 8.427
Ni Ga Pt
2 6 2
Direct
0.707 0.914 0.750
0.293 0.086 0.250
0.642 0.783 0.250
0.845 0.192 0.009
0.845 0.192 0.491
0.155 0.808 0.509
0.155 0.808 0.991
0.358 0.217 0.750
0.004 0.510 0.750
0.996 0.490 0.250

=====

It turns out entry ii is the most stable, with the second structure 0.366 eV/atom higher.